Record 1
An optimized crystal structure of SrMnAl3. Source: Alexandria, functional GGA-PBE.

Cell: 5.7160 5.7160 5.7160 Å, 90.00 90.00 90.00°
Space group Pm-3m (No. 221)
Asymmetric unit:
1 Sr 0.0000 0.0000 0.0000 (multiplicity 1)
2 Mn 0.5000 0.5000 0.5000 (multiplicity 1)
3 Al 0.0000 0.0000 0.5000 (multiplicity 3)

Properties
- energy (eV/f.u.) = -13.6
- energy of formation (eV per atom) = 1.699
- N(E_F) (states/eV per cell) = 5.13

---

Record 2
An optimized crystal structure of Zn2TcNi. Source: Alexandria, functional GGA-PBE.

Cell: 3.7787 3.7787 3.7355 Å, 90.00 90.00 90.00°
Space group P4/mmm (No. 123)
Asymmetric unit:
1 Zn 0.0000 0.5000 0.0000 (multiplicity 2)
2 Tc 0.0000 0.0000 0.5000 (multiplicity 1)
3 Ni 0.5000 0.5000 0.5000 (multiplicity 1)

Properties
- excess energy over the best structure of this formula in the dataset (meV/atom) = 77
- energy (eV/f.u.) = -18.5
- energy of formation (eV per atom) = 0.042
- N(E_F) (states/eV per cell) = 4.73

---

Record 3
An optimized crystal structure of As3SeF. Source: Alexandria, functional GGA-PBE.

Cell: 4.6163 4.6163 4.6163 Å, 90.00 90.00 90.00°
Space group Pm-3m (No. 221)
Asymmetric unit:
1 As 0.0000 0.0000 0.5000 (multiplicity 3)
2 Se 0.5000 0.5000 0.5000 (multiplicity 1)
3 F 0.0000 0.0000 0.0000 (multiplicity 1)

Properties
- excess energy over the best structure of this formula in the dataset (meV/atom) = 0
- energy (eV/f.u.) = -16.8
- uncorrected formation energy (kJ per mole of atoms) = 47.5
- N(E_F) (states/eV per cell) = 2.58